Entry 1:
A geometry-optimized LaDy4Ho5 structure. Source: Alexandria, functional PBE-GGA.

Cell lengths 7.873, 7.873, 7.873 Å; angles 99.12, 99.12, 133.07 degrees
Fractional coordinates of all 10 atoms:
La: 0.000 0.000 0.000
Dy: 0.119 0.819 0.402
Dy: 0.417 0.717 0.598
Dy: 0.717 0.119 0.300
Dy: 0.819 0.417 0.700
Ho: 0.041 0.130 0.620
Ho: 0.130 0.509 0.088
Ho: 0.421 0.041 0.912
Ho: 0.509 0.421 0.380
Ho: 0.542 0.542 0.000

Summary:
- Final energy: -4.319 eV per atom
- ρ: 8.193 g/cm3
- Calculated formation energy: 0.30 eV per atom
- Crystal system: tetragonal
- Fermi-level density of states: 14.41 states/eV/f.u.

---

Entry 2:
A geometry-optimized Ca3Dy3YTe8 structure. Source: Alexandria, functional PBE-GGA.

Cell lengths 8.905, 8.905, 8.905 Å; angles 58.87, 58.87, 58.87 degrees
Fractional coordinates of all 15 atoms:
Ca: 0.000 0.500 0.500
Ca: 0.500 0.000 0.500
Ca: 0.500 0.500 0.000
Dy: 0.000 0.000 0.500
Dy: 0.000 0.500 0.000
Dy: 0.500 0.000 0.000
Y: 0.500 0.500 0.500
Te: 0.244 0.751 0.751
Te: 0.248 0.248 0.248
Te: 0.249 0.249 0.756
Te: 0.249 0.756 0.249
Te: 0.751 0.244 0.751
Te: 0.751 0.751 0.244
Te: 0.752 0.752 0.752
Te: 0.756 0.249 0.249

Summary:
- Final energy: -4.916 eV per atom
- ρ: 5.863 g/cm3
- Uncorrected formation energy: -1.49 eV per atom
- Crystal system: trigonal
- Fermi-level density of states: 4.69 states/eV/f.u.

---

Entry 3:
A geometry-optimized Y3TmS6 structure. Source: Alexandria, functional PBE-GGA.

Cell lengths 8.015, 8.015, 8.015 Å; angles 91.10, 91.10, 91.10 degrees
Fractional coordinates of all 20 atoms:
Y: 0.068 0.577 0.747
Y: 0.253 0.932 0.423
Y: 0.423 0.253 0.932
Y: 0.577 0.747 0.068
Y: 0.747 0.068 0.577
Y: 0.932 0.423 0.253
Tm: 0.000 0.000 0.000
Tm: 0.500 0.500 0.500
S: 0.038 0.907 0.683
S: 0.093 0.317 0.962
S: 0.187 0.589 0.419
S: 0.317 0.962 0.093
S: 0.411 0.581 0.813
S: 0.419 0.187 0.589
S: 0.581 0.813 0.411
S: 0.589 0.419 0.187
S: 0.683 0.038 0.907
S: 0.813 0.411 0.581
S: 0.907 0.683 0.038
S: 0.962 0.093 0.317

Summary:
- Final energy: -6.933 eV per atom
- ρ: 4.053 g/cm3
- Uncorrected formation energy: -2.07 eV per atom
- Crystal system: trigonal
- Fermi-level density of states: 0.00 states/eV/f.u.

---

Entry 4:
A geometry-optimized DyTm2Ga3 structure. Source: Alexandria, functional PBE-GGA.

Cell lengths 5.002, 5.002, 6.139 Å; angles 90.00, 90.00, 120.00 degrees
Fractional coordinates of all 6 atoms:
Dy: 0.000 0.000 0.000
Tm: 0.333 0.667 0.664
Tm: 0.667 0.333 0.336
Ga: 0.000 0.000 0.500
Ga: 0.333 0.667 0.167
Ga: 0.667 0.333 0.833

Summary:
- Final energy: -4.343 eV per atom
- ρ: 8.856 g/cm3
- Calculated formation energy: -0.57 eV per atom
- Crystal system: trigonal
- Fermi-level density of states: 2.60 states/eV/f.u.

---

Entry 5:
A geometry-optimized LaPu2UN4 structure. Source: Alexandria, functional PBE-GGA.

Cell lengths 6.076, 3.530, 6.180 Å; angles 90.00, 109.30, 90.00 degrees
Fractional coordinates of all 8 atoms:
La: 0.000 0.000 0.000
Pu: 0.500 0.000 0.500
Pu: 0.500 0.500 0.000
U: 0.000 0.500 0.500
N: 0.239 0.000 0.719
N: 0.256 0.500 0.287
N: 0.744 0.500 0.713
N: 0.761 0.000 0.281

Summary:
- Final energy: -11.055 eV per atom
- ρ: 12.224 g/cm3
- Uncorrected formation energy: -1.28 eV per atom
- Crystal system: monoclinic
- Fermi-level density of states: 12.12 states/eV/f.u.

---

Entry 6:
A geometry-optimized BC5 structure. Source: Alexandria, functional PBE-GGA.

Cell lengths 4.437, 4.437, 4.491 Å; angles 99.61, 99.61, 119.87 degrees
Fractional coordinates of all 12 atoms:
B: 0.167 0.833 0.000
B: 0.833 0.167 0.000
C: 0.000 0.000 0.502
C: 0.042 0.706 0.620
C: 0.222 0.545 0.140
C: 0.334 0.667 0.502
C: 0.376 0.376 0.632
C: 0.503 0.503 0.007
C: 0.545 0.222 0.140
C: 0.667 0.334 0.502
C: 0.706 0.042 0.620
C: 0.870 0.870 0.141

Summary:
- Final energy: -8.516 eV per atom
- ρ: 3.255 g/cm3
- Calculated formation energy: 0.28 eV per atom
- Crystal system: monoclinic
- Fermi-level density of states: 1.61 states/eV/f.u.

---

Entry 7:
A geometry-optimized HfAsSe2N structure. Source: Alexandria, functional PBE-GGA.

Cell lengths 5.142, 5.142, 5.318 Å; angles 90.00, 90.00, 90.00 degrees
Fractional coordinates of all 5 atoms:
Hf: 0.000 0.000 0.000
As: 0.000 0.000 0.500
Se: 0.000 0.500 0.000
Se: 0.500 0.000 0.000
N: 0.500 0.500 0.500

Summary:
- Final energy: -5.161 eV per atom
- ρ: 5.022 g/cm3
- Uncorrected formation energy: 0.82 eV per atom
- Crystal system: tetragonal
- Fermi-level density of states: 2.04 states/eV/f.u.

---

Entry 8:
A geometry-optimized LuTiTcRh structure. Source: Alexandria, functional PBE-GGA.

Cell lengths 4.554, 4.554, 4.554 Å; angles 60.00, 60.00, 60.00 degrees
Fractional coordinates of all 4 atoms:
Lu: 0.000 0.000 0.000
Ti: 0.500 0.500 0.500
Tc: 0.750 0.750 0.750
Rh: 0.250 0.250 0.250

Summary:
- Final energy: -8.082 eV per atom
- ρ: 10.533 g/cm3
- Calculated formation energy: -0.55 eV per atom
- Crystal system: cubic
- Fermi-level density of states: 3.11 states/eV/f.u.

---

Entry 9:
A geometry-optimized Sr2LiCdRh2 structure. Source: Alexandria, functional PBE-GGA.

Cell lengths 8.850, 8.850, 8.850 Å; angles 140.49, 57.35, 140.18 degrees
Fractional coordinates of all 12 atoms:
Sr: 0.171 0.242 0.413
Sr: 0.329 0.742 0.071
Sr: 0.671 0.258 0.929
Sr: 0.829 0.758 0.587
Li: 0.250 0.750 0.500
Li: 0.750 0.250 0.500
Cd: 0.250 0.250 0.000
Cd: 0.750 0.750 0.000
Rh: 0.114 0.736 0.851
Rh: 0.386 0.236 0.622
Rh: 0.614 0.764 0.378
Rh: 0.886 0.264 0.149

Summary:
- Final energy: -3.677 eV per atom
- ρ: 5.935 g/cm3
- Calculated formation energy: -0.19 eV per atom
- Crystal system: orthorhombic
- Fermi-level density of states: 2.94 states/eV/f.u.

---

Entry 10:
A geometry-optimized RbHf2InCl structure. Source: Alexandria, functional PBE-GGA.

Cell lengths 4.907, 4.907, 6.062 Å; angles 90.00, 90.00, 90.00 degrees
Fractional coordinates of all 5 atoms:
Rb: 0.000 0.000 0.000
Hf: 0.000 0.500 0.500
Hf: 0.500 0.000 0.500
In: 0.500 0.500 0.000
Cl: 0.500 0.500 0.500

Summary:
- Final energy: -4.480 eV per atom
- ρ: 6.744 g/cm3
- Uncorrected formation energy: 0.61 eV per atom
- Crystal system: tetragonal
- Fermi-level density of states: 5.05 states/eV/f.u.

---

Entry 11:
A geometry-optimized MgCoIr structure. Source: Alexandria, functional PBE-GGA.

Cell lengths 4.238, 4.238, 2.828 Å; angles 90.00, 90.00, 120.00 degrees
Fractional coordinates of all 3 atoms:
Mg: 0.000 0.000 0.000
Co: 0.333 0.667 0.419
Ir: 0.667 0.333 0.547

Summary:
- Final energy: -5.846 eV per atom
- ρ: 10.402 g/cm3
- Calculated formation energy: 0.01 eV per atom
- Crystal system: trigonal
- Fermi-level density of states: 2.72 states/eV/f.u.